Computed, not measured: an optimized crystal structure of Nd2Be2GeO7 at the PBE-GGA level of DFT.

POSCAR file:
```
Nd2Be2GeO7
1.0
7.6327 0.0000 0.0000
0.0000 7.6327 0.0000
0.0000 0.0000 4.9302
O Ge Be Nd
14 2 4 4
direct
0.6415 0.8585 0.2815
0.1735 0.0783 0.7951
0.6735 0.4217 0.2049
0.3585 0.1415 0.2815
0.4217 0.3265 0.7951
0.3265 0.5783 0.2049
0.8585 0.3585 0.7185
0.1415 0.6415 0.7185
0.5783 0.6735 0.7951
0.8265 0.9217 0.7951
0.0000 0.5000 0.1723
0.5000 0.0000 0.8277
0.9217 0.1735 0.2049
0.0783 0.8265 0.2049
0.5000 0.5000 0.0000
0.0000 0.0000 0.0000
0.8668 0.3668 0.0404
0.6332 0.8668 0.9596
0.3668 0.1332 0.9596
0.1332 0.6332 0.0404
0.3405 0.8405 0.4961
0.1595 0.3405 0.5039
0.8405 0.6595 0.5039
0.6595 0.1595 0.4961
```

Calculated values
Its magnetic moment is 0.00 μB per cell. Its space group is P-42_1m (113). Its uncorrected formation energy is -2.8333 eV per atom. The crystal system is tetragonal.